Below is a geometry-optimized RbScCrO4 structure, with properties calculated at the GGA+U level.

Structure (POSCAR):
```
RbScCrO4
1.0
-1.128 -4.375 -3.350
5.592 -0.559 -1.152
1.275 -2.276 7.295
O Sc Cr Rb
8 2 2 2
direct
0.032 0.976 0.341 O
0.968 0.024 0.659 O
0.032 0.524 0.341 O
0.485 0.250 0.428 O
0.533 0.250 0.784 O
0.968 0.476 0.659 O
0.515 0.750 0.572 O
0.467 0.750 0.216 O
0.823 0.750 0.467 Sc
0.177 0.250 0.533 Sc
0.274 0.750 0.353 Cr
0.726 0.250 0.647 Cr
0.692 0.750 0.943 Rb
0.308 0.250 0.057 Rb
```

Calculated values
**Space-group type**: No. 11
**M_tot**: 4.00 μB per cell
**Total energy**: -7.165 eV per atom